CdTePbN2 | PBE-GGA | optimized geometry

Results
final energy: -17.2 eV per cell
ΔE to the lowest computed polymorph: 8 meV per atom
E_form (uncorrected): 1.438 eV/atom

Cell: 4.4144 4.4144 6.5025 Å, 90.00 90.00 90.00°
With the nearest neighbours (Å) after each atom.
Fractional coordinates of all 5 atoms:
N (0.0000, 0.5000, 0.0000)  2 Pb 2.21
N (0.5000, 0.0000, 0.0000)  2 Pb 2.21
Pb (0.0000, 0.0000, 0.0000)  4 N 2.21
Te (0.0000, 0.0000, 0.5000)  4 Cd 3.12, 2 Pb 3.25
Cd (0.5000, 0.5000, 0.5000)  4 Te 3.12

=====

Li2TlVS4 | PBE-GGA | optimized geometry

Results
final energy: -39.0 eV per cell
E_form (uncorrected): -0.903 eV/atom

Cell: 6.5730 6.5730 6.2739 Å, 121.56 121.56 90.04°
With the nearest neighbours (Å) after each atom.
Fractional coordinates of all 8 atoms:
S (0.1600, 0.1600, 0.6971)  1 V 2.17
S (0.4627, 0.8396, 0.3022)  1 V 2.17
V (0.4999, 0.4999, 0.9998)  4 S 2.17
Tl (0.0005, 0.0005, 0.0010)  8 S 3.16-3.43
S (0.5371, 0.5371, 0.6971)  1 V 2.17
S (0.8396, 0.4627, 0.3022)  1 V 2.17
Li (0.7503, 0.2503, 0.5005)  4 S 2.53
Li (0.2503, 0.7503, 0.5005)  4 S 2.53

=====

Yb2MgS4 | PBE-GGA | optimized geometry

Results
final energy: -63.0 eV per cell
ΔE to the lowest computed polymorph: 44 meV per atom
E_form (uncorrected): -1.474 eV/atom

Cell: 7.1641 7.1641 7.1641 Å, 111.69 111.69 105.13°
With the nearest neighbours (Å) after each atom.
Fractional coordinates of all 14 atoms:
Mg (0.0000, 0.0000, 0.0000)  4 S 2.56
Yb (0.3750, 0.5012, 0.6262)  8 S 2.72-3.01
S (0.9901, 0.3647, 0.2293)  1 Mg 2.56, 2 Yb 2.72-2.78
S (0.1147, 0.2401, 0.7293)  1 Mg 2.56, 2 Yb 2.72-2.78
S (0.6146, 0.8853, 0.1253)  1 Mg 2.56, 2 Yb 2.72-2.78
S (0.2393, 0.0099, 0.3747)  1 Mg 2.56, 2 Yb 2.72-2.78
S (0.1354, 0.7607, 0.7707)  1 Mg 2.56, 2 Yb 2.72-2.78
S (0.7599, 0.4893, 0.8747)  1 Mg 2.56, 2 Yb 2.72-2.78
Mg (0.7500, 0.2500, 0.5000)  4 S 2.56
Yb (0.4988, 0.1250, 0.8738)  8 S 2.72-3.01
S (0.6353, 0.8646, 0.6253)  1 Mg 2.56, 2 Yb 2.72-2.78
S (0.5107, 0.3854, 0.2707)  1 Mg 2.56, 2 Yb 2.72-2.78
Yb (0.8750, 0.7488, 0.3738)  8 S 2.72-3.01
Yb (0.2512, 0.6250, 0.1262)  8 S 2.72-3.01

=====

Nd8Sm4Pu | PBE-GGA | optimized geometry

Results
final energy: -64.9 eV per cell
energy of formation from the pure elements: 0.50 eV per atom

Cell: 7.9115 7.9115 7.9115 Å, 90.22 90.22 90.22°
With the nearest neighbours (Å) after each atom.
Fractional coordinates of all 13 atoms:
Sm (0.0000, 0.5000, 0.5000)  8 Nd 3.46-3.47
Nd (0.2440, 0.7583, 0.7583)  4 Sm 3.33-3.46, 1 Pu 3.53
Pu (0.5000, 0.5000, 0.5000)  8 Nd 3.52-3.53
Sm (0.5000, 0.0000, 0.5000)  8 Nd 3.46-3.47
Nd (0.2424, 0.2424, 0.2424)  4 Sm 3.31-3.47, 1 Pu 3.52
Nd (0.7560, 0.2417, 0.2417)  4 Sm 3.33-3.46, 1 Pu 3.53
Nd (0.7583, 0.7583, 0.2440)  4 Sm 3.33-3.46, 1 Pu 3.53
Nd (0.2417, 0.2417, 0.7560)  4 Sm 3.33-3.46, 1 Pu 3.53
Nd (0.7576, 0.7576, 0.7576)  4 Sm 3.31-3.47, 1 Pu 3.52
Sm (0.0000, 0.0000, 0.0000)  8 Nd 3.31-3.33
Nd (0.7583, 0.2440, 0.7583)  4 Sm 3.33-3.46, 1 Pu 3.53
Sm (0.5000, 0.5000, 0.0000)  8 Nd 3.46-3.47
Nd (0.2417, 0.7560, 0.2417)  4 Sm 3.33-3.46, 1 Pu 3.53

=====

KNa2ZrF8 | PBE-GGA | optimized geometry

Results
final energy: -62.8 eV per cell
E_form (uncorrected): -2.961 eV/atom

Cell: 5.4070 4.8204 7.5780 Å, 89.90 89.99 89.27°
With the nearest neighbours (Å) after each atom.
Fractional coordinates of all 12 atoms:
Zr (0.0000, 0.0000, 0.0000)  6 F 2.04-2.05
F (0.6941, 0.7524, 0.9998)  1 Zr 2.05
F (0.5397, 0.7930, 0.4999)  1 F 2.04
F (0.1534, 0.7667, 0.1981)  1 Zr 2.04, 1 Na 2.27
F (0.4603, 0.2070, 0.5001)  1 F 2.04
F (0.3059, 0.2476, 0.0002)  1 Zr 2.05
F (0.8458, 0.2324, 0.1976)  1 Zr 2.04, 1 Na 2.27
F (0.8466, 0.2333, 0.8019)  1 Zr 2.04, 1 Na 2.27
F (0.1542, 0.7676, 0.8024)  1 Zr 2.04, 1 Na 2.27
Na (0.5001, 0.5001, 0.7729)  6 F 2.27-2.52
Na (0.4999, 0.4999, 0.2271)  6 F 2.27-2.52
K (0.0000, 0.0000, 0.5000)  6 F 2.68-2.69

=====

CaCd12Hg7 | PBE-GGA | optimized geometry

Results
final energy: -16.0 eV per cell
ΔE to the lowest computed polymorph: 0 meV per atom
energy of formation from the pure elements: -0.05 eV per atom

Cell: 8.0423 8.0423 8.0423 Å, 101.63 101.63 101.63°
With the nearest neighbours (Å) after each atom.
Fractional coordinates of all 20 atoms:
Cd (0.2717, 0.7285, 0.9997)  6 Cd 3.04-3.39, 4 Hg 3.10-3.24, 1 Ca 3.39
Cd (0.8248, 0.3981, 0.3985)  7 Cd 2.92-3.20, 1 Hg 3.10
Cd (0.3981, 0.3985, 0.8248)  7 Cd 2.92-3.20, 1 Hg 3.10
Cd (0.6019, 0.6015, 0.1752)  7 Cd 2.92-3.20, 1 Hg 3.10
Hg (0.1495, 0.1504, 0.4110)  5 Cd 3.10-3.48, 1 Ca 3.17, 3 Hg 3.26-3.40
Hg (0.8496, 0.5890, 0.8505)  5 Cd 3.10-3.48, 1 Ca 3.17, 3 Hg 3.26-3.40
Cd (0.6015, 0.1752, 0.6019)  7 Cd 2.92-3.20, 1 Hg 3.10
Hg (0.5000, 0.5000, 0.5000)  6 Cd 3.10, 6 Hg 3.40
Hg (0.4110, 0.1495, 0.1504)  5 Cd 3.10-3.48, 1 Ca 3.17, 3 Hg 3.26-3.40
Cd (0.7283, 0.2715, 0.0003)  6 Cd 3.04-3.39, 4 Hg 3.10-3.24, 1 Ca 3.39
Hg (0.5890, 0.8505, 0.8496)  5 Cd 3.10-3.48, 1 Ca 3.17, 3 Hg 3.26-3.40
Hg (0.8505, 0.8496, 0.5890)  5 Cd 3.10-3.48, 1 Ca 3.17, 3 Hg 3.26-3.40
Cd (0.2715, 0.0003, 0.7283)  6 Cd 3.04-3.39, 4 Hg 3.10-3.24, 1 Ca 3.39
Cd (0.3985, 0.8248, 0.3981)  7 Cd 2.92-3.20, 1 Hg 3.10
Cd (0.9997, 0.2717, 0.7285)  6 Cd 3.04-3.39, 4 Hg 3.10-3.24, 1 Ca 3.39
Ca (0.0000, 0.0000, 0.0000)  6 Hg 3.17, 6 Cd 3.39
Cd (0.7285, 0.9997, 0.2717)  6 Cd 3.04-3.39, 4 Hg 3.10-3.24, 1 Ca 3.39
Cd (0.1752, 0.6019, 0.6015)  7 Cd 2.92-3.20, 1 Hg 3.10
Cd (0.0003, 0.7283, 0.2715)  6 Cd 3.04-3.39, 4 Hg 3.10-3.24, 1 Ca 3.39
Hg (0.1504, 0.4110, 0.1495)  5 Cd 3.10-3.48, 1 Ca 3.17, 3 Hg 3.26-3.40

=====

Li3SbPb | PBE-GGA | optimized geometry

Results
final energy: -14.1 eV per cell
ΔE to the lowest computed polymorph: 323 meV per atom
E_form (uncorrected): -0.110 eV/atom

Cell: 5.1089 5.1089 5.1089 Å, 90.00 90.00 90.00°
With the nearest neighbours (Å) after each atom.
Fractional coordinates of all 5 atoms:
Sb (0.0000, 0.0000, 0.0000)  6 Li 2.55
Li (0.5000, 0.0000, 0.0000)  2 Sb 2.55
Li (0.0000, 0.5000, 0.0000)  2 Sb 2.55
Pb (0.5000, 0.5000, 0.5000)  12 Li 3.61
Li (0.0000, 0.0000, 0.5000)  2 Sb 2.55

=====

NdLuZr2 | PBE-GGA | optimized geometry

Results
final energy: -25.5 eV per cell
ΔE to the lowest computed polymorph: 79 meV per atom
energy of formation from the pure elements: 0.22 eV per atom

Cell: 3.9275 3.9275 6.9868 Å, 90.00 90.00 90.00°
With the nearest neighbours (Å) after each atom.
Fractional coordinates of all 4 atoms:
Nd (0.5000, 0.5000, 0.5000)  8 Zr 3.39, 2 Lu 3.49
Zr (0.0000, 0.0000, 0.2218)  1 Zr 3.10, 4 Lu 3.18, 4 Nd 3.39
Lu (0.5000, 0.5000, 0.0000)  8 Zr 3.18, 2 Nd 3.49
Zr (0.0000, 0.0000, 0.7782)  1 Zr 3.10, 4 Lu 3.18, 4 Nd 3.39

=====

RbAc2Hg6 | PBE-GGA | optimized geometry

Results
final energy: -14.1 eV per cell
energy of formation from the pure elements: -0.35 eV per atom

Cell: 3.7977 9.1198 9.1198 Å, 120.00 90.00 90.00°
With the nearest neighbours (Å) after each atom.
Fractional coordinates of all 9 atoms:
Hg (0.5000, 0.6651, 0.0000)  3 Hg 3.01-3.05
Ac (0.0000, 0.3333, 0.6667)  12 Hg 3.58, 2 Ac 3.80
Hg (0.5000, 0.3349, 0.3349)  3 Hg 3.01-3.05
Ac (0.0000, 0.6667, 0.3333)  12 Hg 3.58, 2 Ac 3.80
Rb (0.0000, 0.0000, 0.0000)  12 Hg 3.60, 2 Rb 3.80
Hg (0.5000, 0.0000, 0.3349)  3 Hg 3.01-3.05
Hg (0.5000, 0.0000, 0.6651)  3 Hg 3.01-3.05
Hg (0.5000, 0.3349, 0.0000)  3 Hg 3.01-3.05
Hg (0.5000, 0.6651, 0.6651)  3 Hg 3.01-3.05

=====

LiHo3Er2Te6 | PBE-GGA | optimized geometry

Results
final energy: -58.8 eV per cell
E_form (uncorrected): -1.268 eV/atom

Cell: 4.3117 8.6323 9.6564 Å, 103.03 102.90 90.00°
With the nearest neighbours (Å) after each atom.
Fractional coordinates of all 12 atoms:
Te (0.9992, 0.7583, 0.9985)  2 Li 3.00, 1 Er 3.08, 3 Ho 3.10
Te (0.6655, 0.5827, 0.3311)  3 Er 3.02-3.03, 3 Ho 3.03
Te (0.0008, 0.2417, 0.0015)  2 Li 3.00, 1 Er 3.08, 3 Ho 3.10
Er (0.1690, 0.3394, 0.3380)  6 Te 3.02-3.08
Er (0.8310, 0.6606, 0.6620)  6 Te 3.02-3.08
Te (0.3345, 0.4173, 0.6689)  3 Er 3.02-3.03, 3 Ho 3.03
Te (0.3377, 0.9183, 0.6754)  1 Li 2.97, 2 Er 3.08, 3 Ho 3.08-3.10
Ho (0.5000, 0.5000, 0.0000)  6 Te 3.03-3.10
Te (0.6623, 0.0817, 0.3246)  1 Li 2.97, 2 Er 3.08, 3 Ho 3.08-3.10
Li (0.5000, 0.0000, 0.0000)  6 Te 2.97-3.00
Ho (0.8316, 0.1700, 0.6633)  6 Te 3.03-3.10
Ho (0.1684, 0.8300, 0.3367)  6 Te 3.03-3.10

=====

Cd5In2Au5 | PBE-GGA | optimized geometry

Results
final energy: -28.1 eV per cell
energy of formation from the pure elements: -0.14 eV per atom

Cell: 4.7368 4.7368 13.2902 Å, 79.80 79.80 60.85°
With the nearest neighbours (Å) after each atom.
Fractional coordinates of all 12 atoms:
Cd (0.6901, 0.6901, 0.9230)  7 Au 2.92-3.08
In (0.0697, 0.0697, 0.7766)  5 Au 2.76-2.91
Au (0.8583, 0.8583, 0.4357)  1 In 2.76, 7 Cd 2.87-3.02
Au (0.3840, 0.3840, 0.8398)  3 In 2.86-2.87, 4 Cd 2.93-3.08
In (0.9303, 0.9303, 0.2234)  5 Au 2.76-2.91
Cd (0.3099, 0.3099, 0.0770)  7 Au 2.92-3.08
Cd (0.5000, 0.5000, 0.5000)  6 Au 2.87-2.88
Cd (0.2280, 0.2280, 0.3416)  4 Au 2.90-3.02, 3 In 3.14-3.15
Au (0.6160, 0.6160, 0.1602)  3 In 2.86-2.87, 4 Cd 2.93-3.08
Au (0.0000, 0.0000, 0.0000)  2 In 2.91, 6 Cd 2.92-2.93
Au (0.1417, 0.1417, 0.5643)  1 In 2.76, 7 Cd 2.87-3.02
Cd (0.7720, 0.7720, 0.6584)  4 Au 2.90-3.02, 3 In 3.14-3.15

=====

Tm2ZrPaC4 | PBE-GGA | optimized geometry

Results
final energy: -67.4 eV per cell
energy of formation from the pure elements: -0.44 eV per atom

Cell: 3.4985 6.0580 6.0926 Å, 70.04 90.00 90.00°
With the nearest neighbours (Å) after each atom.
Fractional coordinates of all 8 atoms:
C (0.5000, 0.7355, 0.2578)  2 Zr 2.42, 1 Pa 2.46, 3 Tm 2.52
C (0.0000, 0.7303, 0.7534)  1 Zr 2.41, 2 Pa 2.41, 3 Tm 2.53-2.57
C (0.5000, 0.2645, 0.7422)  2 Zr 2.42, 1 Pa 2.46, 3 Tm 2.52
C (0.0000, 0.2697, 0.2466)  1 Zr 2.41, 2 Pa 2.41, 3 Tm 2.53-2.57
Tm (0.5000, 0.0000, 0.5000)  6 C 2.52-2.53
Tm (0.0000, 0.0000, 0.0000)  6 C 2.52-2.57
Pa (0.5000, 0.5000, 0.0000)  6 C 2.41-2.46
Zr (0.0000, 0.5000, 0.5000)  6 C 2.41-2.42